[1]
Material: HfHg2O4
Method: DFT, PBE-GGA
State: relaxed

The space group is Fd-3m (No. 227, origin choice 2) and the conventional cell measures 9.448, 9.448 and 9.448 Å, with angles of 90.00, 90.00 and 90.00 degrees. The inequivalent atoms are Hf at (0.125, 0.125, 0.125), Hg at (0.000, 0.000, 0.500) and O at (0.005, 0.005, 0.245).

The mass density is 10.1 g/cm3. The final energy is -322.64 eV per cell. The volume comes out at 15.06 Å³/atom. The size of the total moment is 0.0 μB/f.u.

[2]
Material: HfHgO3
Method: DFT, PBE-GGA
State: relaxed

The space group is R-3c (No. 167, hexagonal axes) and the conventional cell measures 5.6095, 5.6095 and 14.2835 Å, with angles of 90.00, 90.00 and 120.00 degrees. The inequivalent atoms are Hf at (0.0000, 0.0000, 0.0000), Hg at (0.0000, 0.0000, 0.2500) and O at (0.0000, 0.3994, 0.2500).

The mass density is 10.9 g/cm3. The final energy is -215.84 eV per cell. The volume comes out at 12.97 Å³/atom. The size of the total moment is 0.0 μB/f.u.

[3]
Material: Hf2Hg2O5
Method: DFT, PBE-GGA
State: relaxed

The space group is P4/mmm (No. 123) and the conventional cell measures 3.970, 3.970 and 8.288 Å, with angles of 90.00, 90.00 and 90.00 degrees. The inequivalent atoms are Hf at (0.000, 0.000, 0.237), Hg at (0.500, 0.500, 0.000), Hg at (0.500, 0.500, 0.500), O at (0.000, 0.000, 0.000) and O at (0.000, 0.500, 0.311).

The mass density is 10.7 g/cm3. The final energy is -64.35 eV per cell. The volume comes out at 14.52 Å³/atom. The size of the total moment is 0.0 μB/f.u. For the distance to the lowest polymorph of the same formula, the calculation gives 0.00 kJ per mole of atoms.

[4]
Material: HfHgO3
Method: DFT, PBE-GGA
State: relaxed

The space group is R-3 (No. 148, hexagonal axes) and the conventional cell measures 5.6011, 5.6011 and 15.1592 Å, with angles of 90.00, 90.00 and 120.00 degrees. The inequivalent atoms are Hf at (0.0000, 0.0000, 0.1541), Hg at (0.0000, 0.0000, 0.3717) and O at (0.0166, 0.3892, 0.4254).

The mass density is 10.3 g/cm3. The final energy is -214.95 eV per cell. The volume comes out at 13.73 Å³/atom. The size of the total moment is 0.0 μB/f.u.

[5]
Material: HfHgO3
Method: DFT, PBE-GGA
State: relaxed

The space group is Pnma (No. 62) and the conventional cell measures 5.726, 8.054 and 5.591 Å, with angles of 90.00, 90.00 and 90.00 degrees. The inequivalent atoms are Hf at (0.000, 0.000, 0.000), Hg at (0.028, 0.250, 0.494), O at (0.034, 0.750, 0.099) and O at (0.202, 0.552, 0.699).

The mass density is 11.0 g/cm3. The final energy is -143.56 eV per cell. The volume comes out at 12.89 Å³/atom. The size of the total moment is 0.0 μB/f.u.

[6]
Material: Hf2Hg2O5
Method: DFT, PBE-GGA
State: relaxed

The space group is P4/mmm (No. 123) and the conventional cell measures 3.553, 3.553 and 9.097 Å, with angles of 90.00, 90.00 and 90.00 degrees. The inequivalent atoms are Hf at (0.000, 0.000, 0.000), Hf at (0.000, 0.000, 0.500), Hg at (0.500, 0.500, 0.185), O at (0.000, 0.500, 0.346) and O at (0.500, 0.500, 0.500).

The mass density is 12.1 g/cm3. The final energy is -50.83 eV per cell. The volume comes out at 12.76 Å³/atom. The size of the total moment is 2.3 μB/f.u. For the distance to the lowest polymorph of the same formula, the calculation gives 144.88 kJ per mole of atoms.